## SrEuHfZrO6 (GGA-PBE)

Data for a geometry-optimized SrEuHfZrO6 structure.

POSCAR file:
```
SrEuHfZrO6
1.0
0.0000 4.1652 4.1652
4.1652 0.0000 4.1652
4.1652 4.1652 0.0000
Sr Eu Hf Zr O
1 1 1 1 6
Direct
0.0000 0.0000 0.0000
0.5000 0.5000 0.5000
0.2500 0.2500 0.2500
0.7500 0.7500 0.7500
0.0018 0.0018 0.4982
0.0018 0.4982 0.0018
0.0018 0.4982 0.4982
0.4982 0.0018 0.0018
0.4982 0.0018 0.4982
0.4982 0.4982 0.0018
```

Calculated values
Raw formation energy (eV/atom): -3.25
Electronic total energy (eV per atom): -9.266